Entry 1:
CaScO2: relaxed, PBE.

a = 5.867 Å, b = 3.040 Å, c = 11.748 Å
α = 90.00°, β = 90.00°, γ = 90.00°
Space group Pnma (No. 62)
Symmetry-distinct sites (fractional):
Ca (0.008, 0.250, 0.137)
Sc (0.002, 0.250, 0.400)
O (0.180, 0.250, 0.701)
O (0.243, 0.250, 0.962)

Its total magnetic moment is 0.936 μB per formula unit. The volume is 52.4 Å³/f.u. For the uncorrected formation energy, the calculation gives -971 kJ/mol of formula units.

---

Entry 2:
PtRh2Br: relaxed, PBE.

a = 3.053 Å, b = 3.397 Å, c = 6.820 Å
α = 90.00°, β = 90.00°, γ = 90.00°
Space group Pmmm (No. 47)
Symmetry-distinct sites (fractional):
Pt (0.000, 0.000, 0.000)
Rh (0.500, 0.500, 0.203)
Br (0.500, 0.000, 0.500)

Its total magnetic moment is 0.000 μB per formula unit. The volume is 70.7 Å³/f.u. The value obtained for the distance to the lowest polymorph of the same formula is 0.000 eV per atom. For the uncorrected formation energy, the calculation gives 115 kJ/mol of formula units.

---

Entry 3:
TeAuCN2: relaxed, PBE.

a = 3.741 Å, b = 3.741 Å, c = 8.626 Å
α = 90.00°, β = 90.00°, γ = 90.00°
Space group P4/mmm (No. 123)
Symmetry-distinct sites (fractional):
Te (0.000, 0.000, 0.000)
Au (0.000, 0.000, 0.500)
C (0.500, 0.500, 0.000)
N (0.000, 0.500, 0.500)

Its total magnetic moment is 0.438 μB per formula unit. The volume is 120.7 Å³/f.u. The value obtained for the distance to the lowest polymorph of the same formula is 0.264 eV per atom. For the uncorrected formation energy, the calculation gives 1274 kJ/mol of formula units.